[1]
Crystalline PdI2O at its relaxed geometry. Source: the Alexandria database, functional PBE.

Results
- symmetry = I-42d (122)
- E_form (uncorrected) (eV/atom) = 0.352
- energy above the lowest structure with this stoichiometry (eV/atom) = 0.000
- volume (Å³/cell) = 404.3
- energy (eV/atom) = -2.960

Cell: 5.560 5.560 13.079 Å, 90.00 90.00 90.00°
Element x y z (fractional)
Pd1 0.000 0.000 0.000
Pd2 0.000 0.500 0.250
Pd3 0.500 0.000 0.750
Pd4 0.500 0.500 0.500
I1 0.203 0.250 0.625
I2 0.250 0.703 0.875
I3 0.250 0.797 0.375
I4 0.297 0.250 0.125
I5 0.703 0.750 0.125
I6 0.750 0.203 0.375
I7 0.750 0.297 0.875
I8 0.797 0.750 0.625
O1 0.000 0.000 0.500
O2 0.000 0.500 0.750
O3 0.500 0.000 0.250
O4 0.500 0.500 0.000

[2]
Crystalline PmLuPt4 at its relaxed geometry. Source: the Alexandria database, functional PBE.

Results
- symmetry = F-43m (216)
- volume (Å³/cell) = 114.3
- energy (eV/atom) = -6.671

Cell: 5.447 5.447 5.447 Å, 60.00 60.00 60.00°
Element x y z (fractional)
Pm1 0.000 0.000 0.000
Lu1 0.750 0.750 0.750
Pt1 0.375 0.375 0.375
Pt2 0.375 0.375 0.874
Pt3 0.375 0.874 0.375
Pt4 0.874 0.375 0.375

[3]
Crystalline K2PtSe at its relaxed geometry. Source: the Alexandria database, functional PBE.

Results
- symmetry = Cmmm (65)
- E_form (uncorrected) (eV/atom) = -0.270
- volume (Å³/cell) = 210.3
- energy (eV/atom) = -3.200

Cell: 5.485 8.879 4.319 Å, 90.00 90.00 90.00°
Element x y z (fractional)
K1 0.250 0.250 0.000
K2 0.250 0.750 0.000
K3 0.750 0.250 0.000
K4 0.750 0.750 0.000
Pt1 0.000 0.000 0.500
Pt2 0.500 0.500 0.500
Se1 0.000 0.500 0.500
Se2 0.500 0.000 0.500

[4]
Crystalline HfH3Ru at its relaxed geometry. Source: the Alexandria database, functional PBE.

Results
- symmetry = Pm-3m (221)
- volume (Å³/cell) = 48.0
- energy (eV/atom) = -5.518

Cell: 3.635 3.635 3.635 Å, 90.00 90.00 90.00°
Element x y z (fractional)
Hf1 0.000 0.000 0.000
H1 0.000 0.000 0.500
H2 0.000 0.500 0.000
H3 0.500 0.000 0.000
Ru1 0.500 0.500 0.500